The following is a DFT calculation (PBE-GGA) of crystalline Ca2CoHg at its relaxed geometry.

```
Ca2CoHg
1.0
4.402 0.000 0.000
0.000 4.402 0.000
0.000 0.000 9.726
Ca Co Hg
4 2 2
Cartesian
0.000 0.000 0.000
0.000 2.201 2.431
2.201 0.000 7.294
2.201 2.201 4.863
0.000 2.201 7.294
2.201 0.000 2.431
0.000 0.000 4.863
2.201 2.201 0.000
```

Values from the calculation:
E_form, meV per atom: 120.0

***

The following is a DFT calculation (PBE-GGA) of crystalline CaIn2CoHg at its relaxed geometry.

```
CaIn2CoHg
1.0
4.912 0.000 0.000
0.000 4.912 0.000
0.000 0.000 5.114
Ca In Co Hg
1 2 1 1
Cartesian
0.000 0.000 0.000
0.000 2.456 2.557
2.456 0.000 2.557
2.456 2.456 2.557
2.456 2.456 0.000
```

Values from the calculation:
E_form, meV per atom: -103.6

***

The following is a DFT calculation (PBE-GGA) of crystalline CaCo2HgIr at its relaxed geometry.

```
CaCo2HgIr
1.0
4.506 0.000 0.000
0.000 4.506 0.000
0.000 0.000 4.930
Ca Co Hg Ir
1 2 1 1
Cartesian
0.000 0.000 0.000
0.000 2.253 0.000
2.253 0.000 0.000
2.253 2.253 2.465
0.000 0.000 2.465
```

Values from the calculation:
Energy above the most stable polymorph in this dataset, meV/atom: 635.2
E_form, meV per atom: 1821.2

***

The records above give, respectively, mass density values of 5.986 7.122 9.136 g/cm3.
The records above give, respectively, Fermi-level density of states values of 0.820 0.689 1.589 states/eV/atom.
The records above give, respectively, raw total energy values of -10.9 -15.4 -16.3 eV per formula unit.